[1]
DFT (PBE) results for an optimized crystal structure of K2LiGa4Ge3.

Cell lengths 4.555, 4.555, 11.010 Å; angles 90.00, 90.00, 90.00 degrees
Space group P-4m2 (No. 115)
One atom of each set of equivalent atoms:
K  0.000  0.500  0.244 (multiplicity 2)
Li  0.000  0.000  0.500 (multiplicity 1)
Ga  0.000  0.000  0.000 (multiplicity 1)
Ga  0.000  0.500  0.636 (multiplicity 2)
Ga  0.500  0.500  0.000 (multiplicity 1)
Ge  0.000  0.500  0.873 (multiplicity 2)
Ge  0.500  0.500  0.500 (multiplicity 1)

Raw total energy = -3.1389 eV per atom
Mass density = 4.230 g/cm³
Total magnetization = 0.000 μB per atom

***

[2]
DFT (PBE) results for an optimized crystal structure of LiTiSn2.

Cell lengths 7.374, 7.374, 6.188 Å; angles 90.00, 90.00, 90.00 degrees
Space group I-42d (No. 122)
One atom of each set of equivalent atoms:
Li  0.000  0.000  0.000 (multiplicity 4)
Ti  0.000  0.000  0.500 (multiplicity 4)
Sn  0.229  0.250  0.125 (multiplicity 8)

Raw total energy = -4.3883 eV per atom
Mass density = 5.768 g/cm³
Total magnetization = 0.000 μB per atom
Energy above the most stable polymorph in this dataset = 296 meV per atom

***

[3]
DFT (PBE) results for an optimized crystal structure of Sm4Dy2Y3.

Cell lengths 15.226, 5.079, 8.028 Å; angles 90.00, 108.31, 90.00 degrees
Space group C2/m (No. 12)
One atom of each set of equivalent atoms:
Sm  0.167  0.000  0.001 (multiplicity 4)
Sm  0.222  0.500  0.334 (multiplicity 4)
Dy  0.055  0.000  0.334 (multiplicity 4)
Y  0.000  0.500  0.000 (multiplicity 2)
Y  0.110  0.500  0.666 (multiplicity 4)

Raw total energy = -5.2570 eV per atom
Mass density = 6.724 g/cm³
Total magnetization = 0.000 μB per atom
Energy above the most stable polymorph in this dataset = 0 meV per atom

***

[4]
DFT (PBE) results for an optimized crystal structure of CrP2Se.

Cell lengths 5.135, 5.135, 5.123 Å; angles 90.00, 90.00, 90.00 degrees
Space group I4/mmm (No. 139)
One atom of each set of equivalent atoms:
Cr  0.000  0.000  0.000 (multiplicity 2)
P  0.000  0.500  0.000 (multiplicity 4)
Se  0.000  0.000  0.500 (multiplicity 2)

Raw total energy = -5.8757 eV per atom
Mass density = 4.743 g/cm³
Total magnetization = 0.763 μB per atom
Formation energy without anion corrections = 0.11 eV/atom

***

[5]
DFT (PBE) results for an optimized crystal structure of Rb2BAsIr.

Cell lengths 6.358, 6.358, 3.925 Å; angles 90.00, 90.00, 90.00 degrees
Space group P4/mmm (No. 123)
One atom of each set of equivalent atoms:
Rb  0.000  0.500  0.000 (multiplicity 2)
B  0.000  0.000  0.000 (multiplicity 1)
As  0.500  0.500  0.500 (multiplicity 1)
Ir  0.000  0.000  0.500 (multiplicity 1)

Raw total energy = -3.7616 eV per atom
Mass density = 4.697 g/cm³
Total magnetization = 0.284 μB per atom

***

[6]
DFT (PBE) results for an optimized crystal structure of NdSc2Ni.

Cell lengths 3.278, 3.278, 8.362 Å; angles 90.00, 90.00, 90.00 degrees
Space group P4/mmm (No. 123)
One atom of each set of equivalent atoms:
Nd  0.000  0.000  0.000 (multiplicity 1)
Sc  0.500  0.500  0.321 (multiplicity 2)
Ni  0.000  0.000  0.500 (multiplicity 1)

Raw total energy = -6.0083 eV per atom
Mass density = 5.413 g/cm³
Total magnetization = 0.000 μB per atom
Energy above the most stable polymorph in this dataset = 0 meV per atom

***

[7]
DFT (PBE) results for an optimized crystal structure of YNbSbI2.

Cell lengths 5.485, 5.485, 5.561 Å; angles 90.00, 90.00, 90.00 degrees
Space group P4/mmm (No. 123)
One atom of each set of equivalent atoms:
Y  0.000  0.000  0.000 (multiplicity 1)
Nb  0.500  0.500  0.500 (multiplicity 1)
Sb  0.500  0.500  0.000 (multiplicity 1)
I  0.000  0.500  0.500 (multiplicity 2)

Raw total energy = -4.5132 eV per atom
Mass density = 5.532 g/cm³
Total magnetization = 0.413 μB per atom
Formation energy without anion corrections = 0.24 eV/atom
Energy above the most stable polymorph in this dataset = 0 meV per atom

***

[8]
DFT (PBE) results for an optimized crystal structure of Cu2As2C.

Cell lengths 6.132, 6.132, 3.910 Å; angles 90.00, 90.00, 90.00 degrees
Space group P4/mbm (No. 127)
One atom of each set of equivalent atoms:
Cu  0.139  0.361  0.000 (multiplicity 4)
As  0.186  0.686  0.500 (multiplicity 4)
C  0.000  0.000  0.500 (multiplicity 2)

Raw total energy = -4.2675 eV per atom
Mass density = 6.527 g/cm³
Total magnetization = 0.000 μB per atom
Energy above the most stable polymorph in this dataset = 0 meV per atom

***

[9]
DFT (PBE) results for an optimized crystal structure of Pr2Y9Tm.

Cell lengths 5.078, 5.078, 15.220 Å; angles 90.00, 90.00, 90.00 degrees
Space group P4/mmm (No. 123)
One atom of each set of equivalent atoms:
Pr  0.000  0.000  0.167 (multiplicity 2)
Y  0.000  0.500  0.000 (multiplicity 2)
Y  0.000  0.500  0.336 (multiplicity 4)
Y  0.500  0.500  0.169 (multiplicity 2)
Y  0.500  0.500  0.500 (multiplicity 1)
Tm  0.000  0.000  0.500 (multiplicity 1)

Raw total energy = -5.9915 eV per atom
Mass density = 5.293 g/cm³
Total magnetization = 0.000 μB per atom

***

[10]
DFT (PBE) results for an optimized crystal structure of TlMo2Ru.

Cell lengths 6.473, 6.473, 6.473 Å; angles 90.00, 90.00, 90.00 degrees
Space group Fm-3m (No. 225)
One atom of each set of equivalent atoms:
Tl  0.000  0.000  0.000 (multiplicity 4)
Mo  0.250  0.250  0.250 (multiplicity 8)
Ru  0.000  0.000  0.500 (multiplicity 4)

Raw total energy = -7.5384 eV per atom
Mass density = 12.178 g/cm³
Total magnetization = 0.000 μB per atom
Energy above the most stable polymorph in this dataset = 397 meV per atom

***

[11]
DFT (PBE) results for an optimized crystal structure of SbTe2PbS.

Cell lengths 5.310, 5.310, 5.327 Å; angles 90.00, 90.00, 90.00 degrees
Space group P4/mmm (No. 123)
One atom of each set of equivalent atoms:
Sb  0.000  0.000  0.000 (multiplicity 1)
Te  0.000  0.500  0.500 (multiplicity 2)
Pb  0.500  0.500  0.000 (multiplicity 1)
S  0.000  0.000  0.500 (multiplicity 1)

Raw total energy = -3.3912 eV per atom
Mass density = 6.813 g/cm³
Total magnetization = 0.000 μB per atom
Formation energy without anion corrections = 0.26 eV/atom
Energy above the most stable polymorph in this dataset = 0 meV per atom

***

[12]
DFT (PBE) results for an optimized crystal structure of Ti3AuC.

Cell lengths 9.771, 4.260, 7.877 Å; angles 90.00, 115.55, 90.00 degrees
Space group C2/m (No. 12)
One atom of each set of equivalent atoms:
Ti  0.114  0.000  0.188 (multiplicity 4)
Ti  0.138  0.000  0.672 (multiplicity 4)
Ti  0.139  0.500  0.936 (multiplicity 4)
Au  0.123  0.500  0.436 (multiplicity 4)
C  0.119  0.000  0.924 (multiplicity 4)

Raw total energy = -7.7820 eV per atom
Mass density = 7.915 g/cm³
Total magnetization = 0.000 μB per atom
Energy above the most stable polymorph in this dataset = 77 meV per atom

***

[13]
DFT (PBE) results for an optimized crystal structure of FeTcSe2N.

Cell lengths 5.045, 5.045, 3.682 Å; angles 90.00, 90.00, 90.00 degrees
Space group P4/mmm (No. 123)
One atom of each set of equivalent atoms:
Fe  0.000  0.000  0.000 (multiplicity 1)
Tc  0.500  0.500  0.500 (multiplicity 1)
Se  0.000  0.500  0.500 (multiplicity 2)
N  0.500  0.500  0.000 (multiplicity 1)

Raw total energy = -6.2302 eV per atom
Mass density = 5.772 g/cm³
Total magnetization = 0.704 μB per atom
Formation energy without anion corrections = 0.59 eV/atom
Energy above the most stable polymorph in this dataset = 0 meV per atom